[1]
First-principles (GGA-PBE) data for SmScAl after structural relaxation, as listed in Alexandria.

Values from the calculation:
Total energy in eV per atom: -5.17
SG: P-62m
Energy above the most stable polymorph in this dataset in kJ/mol of formula units: 8

Lattice parameters (Å, degrees): 4.4078 7.8225 7.8225 120.00 90.00 90.00
Site moments in Bohr magnetons follow the coordinates.
Sites, in units of the cell vectors:
Sm 0.0000 0.0000 0.4066  0.16
Sm 0.0000 0.4066 0.0000  0.16
Sm 0.0000 0.5934 0.5934  0.16
Sc 0.5000 0.7472 0.0000  0.25
Sc 0.5000 0.0000 0.7472  0.25
Sc 0.5000 0.2528 0.2528  0.25
Al 0.5000 0.6667 0.3333  0.00
Al 0.0000 0.0000 0.0000  -0.01
Al 0.5000 0.3333 0.6667  0.00

[2]
First-principles (GGA-PBE) data for SmScAl after structural relaxation, as listed in Alexandria.

Values from the calculation:
Total energy in eV per atom: -5.12
SG: I4/mmm
Energy above the most stable polymorph in this dataset in kJ/mol of formula units: 23

Lattice parameters (Å, degrees): 3.2944 3.2944 14.0671 96.72 96.72 90.00
Sites, in units of the cell vectors:
Al 0.1401 0.1401 0.2802
Al 0.8599 0.8599 0.7198
Sc 0.7073 0.7073 0.4146
Sc 0.2927 0.2927 0.5854
Sm 0.5652 0.5652 0.1304
Sm 0.4348 0.4348 0.8696

[3]
First-principles (GGA-PBE) data for SmSc2Al after structural relaxation, as listed in Alexandria.

Values from the calculation:
Total energy in eV per atom: -5.49
SG: P4/mmm
Energy above the most stable polymorph in this dataset in kJ/mol of formula units: 0

Lattice parameters (Å, degrees): 3.3486 3.3486 8.5923 90.00 90.00 90.00
Sites, in units of the cell vectors:
Sc 0.0000 0.0000 0.7925
Sc 0.0000 0.0000 0.2075
Al 0.5000 0.5000 0.0000
Sm 0.5000 0.5000 0.5000

[4]
First-principles (GGA-PBE) data for SmScAl4 after structural relaxation, as listed in Alexandria.

Values from the calculation:
Total energy in eV per atom: -4.81
SG: F-43m

Lattice parameters (Å, degrees): 5.5111 5.5111 5.5111 60.00 60.00 60.00
Sites, in units of the cell vectors:
Sm 0.0000 0.0000 0.0000
Al 0.6248 0.1256 0.6248
Al 0.1256 0.6248 0.6248
Al 0.6248 0.6248 0.1256
Al 0.6248 0.6248 0.6248
Sc 0.2500 0.2500 0.2500

[5]
First-principles (GGA-PBE) data for SmScAl after structural relaxation, as listed in Alexandria.

Values from the calculation:
Total energy in eV per atom: -5.17
SG: I4mm
Energy above the most stable polymorph in this dataset in kJ/mol of formula units: 11

Lattice parameters (Å, degrees): 3.3431 3.3431 7.0039 103.81 103.81 90.00
Sites, in units of the cell vectors:
Sm 0.6048 0.6048 0.2096
Al 0.9407 0.9407 0.8815
Sc 0.3045 0.3045 0.6089

[6]
First-principles (GGA-PBE) data for SmSc5Al3 after structural relaxation, as listed in Alexandria.

Values from the calculation:
Total energy in eV per atom: -5.60
SG: P6_3/mcm

Lattice parameters (Å, degrees): 6.2494 8.6201 8.6201 120.00 90.00 90.00
Sites, in units of the cell vectors:
Sm 0.5000 0.0000 0.0000
Sm 0.0000 0.0000 0.0000
Sc 0.2500 0.3361 0.3361
Sc 0.0000 0.6667 0.3334
Sc 0.2500 0.0000 0.6639
Sc 0.2500 0.6639 0.0000
Sc 0.5000 0.3333 0.6666
Sc 0.7500 0.0000 0.3361
Sc 0.0000 0.3333 0.6666
Sc 0.5000 0.6667 0.3334
Sc 0.7500 0.6639 0.6639
Sc 0.7500 0.3361 0.0000
Al 0.2500 0.3402 0.0000
Al 0.2500 0.0000 0.3401
Al 0.2500 0.6599 0.6599
Al 0.7500 0.6598 0.0000
Al 0.7500 0.0000 0.6599
Al 0.7500 0.3401 0.3401

Question: Which of these has the highest total energy?
Answer: SmScAl4